Pm3Y2Th: optimized geometry, PBE.

a = 11.1826 Å, b = 12.0284 Å, c = 6.9012 Å
α = 90.00°, β = 90.00°, γ = 90.00°
Space group Ibam (No. 72)
Inequivalent atoms, fractional coordinates:
Pm1 0.0000 0.0000 0.2500 x4
Pm2 0.0000 0.2677 0.2500 x8
Y1 0.2432 0.1912 0.0000 x8
Th1 0.0000 0.5000 0.0000 x4

As for the formation energy from the elements: 0.5945 eV per atom. The calculation puts the total energy at -5.172 eV per atom. The value obtained for the magnetic moment is 0.00 Bohr magnetons per cell. Its crystal system is orthorhombic. The calculated volume comes out at 38.678 Å³ per atom. Its excess energy over the best structure of this formula in the dataset is 0.360 eV per atom.

Cu2NiCl5: optimized geometry, PBE.

a = 11.8249 Å, b = 7.0273 Å, c = 6.0545 Å
α = 90.00°, β = 110.73°, γ = 90.00°
Space group Cm (No. 8)
Inequivalent atoms, fractional coordinates:
Cu1 0.0000 0.2402 0.0000 x4
Ni1 0.0609 0.0000 0.4109 x2
Cl1 0.0620 0.0000 0.7788 x2
Cl2 0.1503 0.2602 0.3542 x4
Cl3 0.3814 0.5000 0.1022 x2
Cl4 0.4266 0.0000 0.7899 x2

Its uncorrected formation energy is -3.79 eV/f.u. The calculation puts the total energy at -3.374 eV per atom. The value obtained for the magnetic moment is 6.11 Bohr magnetons per cell. Its crystal system is monoclinic. The calculated volume comes out at 29.409 Å³ per atom.

YCd2Mo: optimized geometry, PBE.

a = 4.3976 Å, b = 4.3976 Å, c = 4.4027 Å
α = 90.00°, β = 90.00°, γ = 90.00°
Space group P4/mmm (No. 123)
Inequivalent atoms, fractional coordinates:
Y1 0.0000 0.0000 0.0000 x1
Cd1 0.0000 0.5000 0.5000 x2
Mo1 0.5000 0.5000 0.0000 x1

As for the formation energy from the elements: 0.2229 eV per atom. The calculation puts the total energy at -4.558 eV per atom. The value obtained for the magnetic moment is 0.00 Bohr magnetons per cell. Its crystal system is tetragonal. The calculated volume comes out at 21.286 Å³ per atom. Its excess energy over the best structure of this formula in the dataset is 0.025 eV per atom.

- Look up the calculated volume of the third one.
  21.286 Å³ per atom

Please write out number 2 again, unchanged.
Cu2NiCl5: optimized geometry, PBE.

a = 11.8249 Å, b = 7.0273 Å, c = 6.0545 Å
α = 90.00°, β = 110.73°, γ = 90.00°
Space group Cm (No. 8)
Inequivalent atoms, fractional coordinates:
Cu1 0.0000 0.2402 0.0000 x4
Ni1 0.0609 0.0000 0.4109 x2
Cl1 0.0620 0.0000 0.7788 x2
Cl2 0.1503 0.2602 0.3542 x4
Cl3 0.3814 0.5000 0.1022 x2
Cl4 0.4266 0.0000 0.7899 x2

Its uncorrected formation energy is -3.79 eV/f.u. The calculation puts the total energy at -3.374 eV per atom. The value obtained for the magnetic moment is 6.11 Bohr magnetons per cell. Its crystal system is monoclinic. The calculated volume comes out at 29.409 Å³ per atom.

- What is the formula in the third record?
  YCd2Mo

- Which formula does entry 2 have?
  Cu2NiCl5